Entry 1:
Material: KAlW2
Method: DFT, PBE
State: relaxed

a = 8.8781 Å, b = 2.7077 Å, c = 7.6688 Å
α = 90.00°, β = 92.08°, γ = 90.00°
Space group Cm (No. 8)
Inequivalent atoms, fractional coordinates:
K 0.0000 0.0000 0.0000 [2 per cell]
Al 0.2572 0.5000 0.3420 [2 per cell]
W 0.2373 0.0000 0.6575 [2 per cell]
W 0.4906 0.0000 0.4999 [2 per cell]

Summary:
Energy of formation from the pure elements   3.15 eV per formula unit
Density of states at the Fermi level   0.64 states/eV/atom



Entry 2:
Material: KAlW2
Method: DFT, PBE
State: relaxed

a = 2.7309 Å, b = 5.2487 Å, c = 5.3068 Å
α = 90.00°, β = 90.00°, γ = 90.00°
Space group Pmmm (No. 47)
Inequivalent atoms, fractional coordinates:
K 0.0000 0.0000 0.0000 [1 per cell]
Al 0.5000 0.5000 0.0000 [1 per cell]
W 0.0000 0.5000 0.5000 [1 per cell]
W 0.5000 0.0000 0.5000 [1 per cell]

Summary:
Energy of formation from the pure elements   5.33 eV per formula unit
Density of states at the Fermi level   0.87 states/eV/atom



Entry 3:
Material: KAlW3
Method: DFT, PBE
State: relaxed

a = 4.7721 Å, b = 4.7721 Å, c = 4.7721 Å
α = 90.00°, β = 90.00°, γ = 90.00°
Space group Pm-3m (No. 221)
Inequivalent atoms, fractional coordinates:
K 0.0000 0.0000 0.0000 [1 per cell]
Al 0.5000 0.5000 0.5000 [1 per cell]
W 0.0000 0.5000 0.5000 [3 per cell]

Summary:
Energy of formation from the pure elements   11.72 eV per formula unit
Density of states at the Fermi level   1.47 states/eV/atom
Energy above the lowest structure with this stoichiometry   0 meV per atom



Entry 4:
Material: KAl2W
Method: DFT, PBE
State: relaxed

a = 2.7841 Å, b = 4.5612 Å, c = 8.0382 Å
α = 90.00°, β = 90.17°, γ = 90.00°
Space group Pm (No. 6)
Inequivalent atoms, fractional coordinates:
K 0.0000 0.0000 0.0000 [1 per cell]
Al 0.5004 0.0000 0.3911 [1 per cell]
Al 0.5026 0.5000 0.6530 [1 per cell]
W 0.0003 0.5000 0.3783 [1 per cell]

Summary:
Energy of formation from the pure elements   1.95 eV per formula unit
Density of states at the Fermi level   0.94 states/eV/atom
Energy above the lowest structure with this stoichiometry   161 meV per atom



Entry 5:
Material: KAlW3
Method: DFT, PBE
State: relaxed

a = 4.5504 Å, b = 4.5504 Å, c = 4.5504 Å
α = 90.00°, β = 90.00°, γ = 90.00°
Space group Pm-3m (No. 221)
Inequivalent atoms, fractional coordinates:
K 0.0000 0.0000 0.0000 [1 per cell]
Al 0.5000 0.5000 0.5000 [1 per cell]
W 0.0000 0.0000 0.5000 [3 per cell]

Summary:
Energy of formation from the pure elements   17.61 eV per formula unit
Density of states at the Fermi level   1.22 states/eV/atom
Energy above the lowest structure with this stoichiometry   1178 meV per atom



Entry 6:
Material: KAlW2
Method: DFT, PBE
State: relaxed

a = 5.7594 Å, b = 10.3623 Å, c = 2.7029 Å
α = 90.00°, β = 110.68°, γ = 90.00°
Space group C2/m (No. 12)
Inequivalent atoms, fractional coordinates:
K 0.0000 0.0000 0.0000 [2 per cell]
Al 0.0000 0.5000 0.0000 [2 per cell]
W 0.2500 0.2500 0.5000 [4 per cell]

Summary:
Energy of formation from the pure elements   5.25 eV per formula unit
Density of states at the Fermi level   0.96 states/eV/atom



Entry 7:
Material: K3AlW
Method: DFT, PBE
State: relaxed

a = 6.4688 Å, b = 6.4688 Å, c = 6.4688 Å
α = 90.00°, β = 90.00°, γ = 90.00°
Space group Pm-3m (No. 221)
Inequivalent atoms, fractional coordinates:
K 0.0000 0.0000 0.5000 [3 per cell]
Al 0.0000 0.0000 0.0000 [1 per cell]
W 0.5000 0.5000 0.5000 [1 per cell]

Summary:
Energy of formation from the pure elements   8.49 eV per formula unit
Density of states at the Fermi level   1.08 states/eV/atom
Energy above the lowest structure with this stoichiometry   0 meV per atom



Entry 8:
Material: KAl2W
Method: DFT, PBE
State: relaxed

a = 2.9519 Å, b = 2.9519 Å, c = 31.2607 Å
α = 90.00°, β = 90.00°, γ = 120.00°
Space group R-3m (No. 166, hexagonal axes)
Inequivalent atoms, fractional coordinates:
K 0.0000 0.0000 0.0000 [3 per cell]
Al 0.0000 0.0000 0.2367 [6 per cell]
W 0.0000 0.0000 0.5000 [3 per cell]

Summary:
Energy of formation from the pure elements   1.64 eV per formula unit
Density of states at the Fermi level   0.58 states/eV/atom
Energy above the lowest structure with this stoichiometry   82 meV per atom



Entry 9:
Material: KAl4W
Method: DFT, PBE
State: relaxed

a = 7.5874 Å, b = 7.5874 Å, c = 7.5874 Å
α = 90.00°, β = 90.00°, γ = 90.00°
Space group F-43m (No. 216)
Inequivalent atoms, fractional coordinates:
K 0.0000 0.0000 0.0000 [4 per cell]
Al 0.1244 0.1244 0.3756 [16 per cell]
W 0.2500 0.2500 0.7500 [4 per cell]

Summary:
Energy of formation from the pure elements   2.98 eV per formula unit
Density of states at the Fermi level   0.56 states/eV/atom



Entry 10:
Material: KAl2W
Method: DFT, PBE
State: relaxed

a = 2.7877 Å, b = 3.8871 Å, c = 8.4190 Å
α = 90.00°, β = 90.00°, γ = 90.00°
Space group Pmm2 (No. 25)
Inequivalent atoms, fractional coordinates:
K 0.0000 0.0000 0.0000 [1 per cell]
Al 0.0000 0.0000 0.4832 [1 per cell]
Al 0.5000 0.5000 0.6639 [1 per cell]
W 0.5000 0.5000 0.3435 [1 per cell]

Summary:
Energy of formation from the pure elements   2.31 eV per formula unit
Density of states at the Fermi level   0.89 states/eV/atom
Energy above the lowest structure with this stoichiometry   252 meV per atom



Entry 11:
Material: KAl2W
Method: DFT, PBE
State: relaxed

a = 4.1261 Å, b = 4.1261 Å, c = 9.2872 Å
α = 90.00°, β = 90.00°, γ = 90.00°
Space group I-4m2 (No. 119)
Inequivalent atoms, fractional coordinates:
K 0.0000 0.0000 0.0000 [2 per cell]
Al 0.0000 0.0000 0.5000 [2 per cell]
Al 0.0000 0.5000 0.2500 [2 per cell]
W 0.0000 0.5000 0.7500 [2 per cell]

Summary:
Energy of formation from the pure elements   4.76 eV per formula unit
Density of states at the Fermi level   0.59 states/eV/atom
Energy above the lowest structure with this stoichiometry   864 meV per atom



Entry 12:
Material: KAl2ZnW
Method: DFT, PBE
State: relaxed

a = 4.7937 Å, b = 4.7937 Å, c = 5.2679 Å
α = 90.00°, β = 90.00°, γ = 90.00°
Space group P4/mmm (No. 123)
Inequivalent atoms, fractional coordinates:
K 0.0000 0.0000 0.0000 [1 per cell]
Al 0.0000 0.5000 0.5000 [2 per cell]
Zn 0.0000 0.0000 0.5000 [1 per cell]
W 0.5000 0.5000 0.0000 [1 per cell]

Summary:
Energy of formation from the pure elements   7.49 eV per formula unit
Density of states at the Fermi level   0.49 states/eV/atom



Entry 13:
Material: K2YAl
Method: DFT, PBE
State: relaxed

a = 21.0251 Å, b = 3.7106 Å, c = 4.8196 Å
α = 90.00°, β = 103.16°, γ = 90.00°
Space group C2/m (No. 12)
Inequivalent atoms, fractional coordinates:
K 0.1557 0.0000 0.1541 [4 per cell]
Y 0.0000 0.0000 0.5000 [2 per cell]
Al 0.0000 0.5000 0.0000 [2 per cell]

Summary:
Energy of formation from the pure elements   0.64 eV per formula unit
Density of states at the Fermi level   1.00 states/eV/atom



Entry 14:
Material: K2YAl
Method: DFT, PBE
State: relaxed

a = 4.6877 Å, b = 4.6877 Å, c = 6.4257 Å
α = 90.00°, β = 90.00°, γ = 90.00°
Space group P4/mmm (No. 123)
Inequivalent atoms, fractional coordinates:
K 0.0000 0.5000 0.0000 [2 per cell]
Y 0.0000 0.0000 0.5000 [1 per cell]
Al 0.5000 0.5000 0.5000 [1 per cell]

Summary:
Energy of formation from the pure elements   1.63 eV per formula unit
Density of states at the Fermi level   1.17 states/eV/atom



Entry 15:
Material: K2YAl
Method: DFT, PBE
State: relaxed

a = 3.6789 Å, b = 6.7668 Å, c = 5.6505 Å
α = 90.00°, β = 92.34°, γ = 90.00°
Space group P2/m (No. 10)
Inequivalent atoms, fractional coordinates:
K 0.2383 0.0000 0.2665 [2 per cell]
Y 0.5000 0.5000 0.0000 [1 per cell]
Al 0.0000 0.5000 0.5000 [1 per cell]

Summary:
Energy of formation from the pure elements   1.65 eV per formula unit
Density of states at the Fermi level   0.60 states/eV/atom